A plane-wave DFT calculation with meta-GGA SCAN was carried out for a crystal of ZrBeSb2 relaxed with PBEsol.

Computed properties:
E_form (uncorrected): -0.1175 eV per atom
SG: No. 123
theoretical density: 7.16 g cm⁻³

a = 3.6852 Å, b = 3.6852 Å, c = 5.8667 Å
α = 90.00°, β = 90.00°, γ = 90.00°
Sites, in units of the cell vectors:
Zr 0.0000 0.0000 0.0000
Be 0.0000 0.0000 0.5000
Sb 0.5000 0.5000 0.2585
Sb 0.5000 0.5000 0.7415